{"formula": "SrCe2VN4", "functional": "PBE", "state": "relaxed", "formation_energy_uncorrected_ev_per_atom": -1.193, "energy_ev_per_atom": -8.190, "crystal_system": "orthorhombic", "magnetic_moment_mub_per_fu": 2.1, "lattice": [[3.5192, 0.0000, 0.0000], [-1.7596, 6.0317, 0.0000], [0.0000, 0.0000, 12.1334]], "species": ["N", "N", "N", "N", "N", "N", "N", "N", "Ce", "Ce", "Ce", "Ce", "V", "V", "Sr", "Sr"], "fractional_positions": [[0.7414, 0.4827, 0.8741], [0.0000, 0.0000, 0.5000], [0.2586, 0.5173, 0.3741], [0.2586, 0.5173, 0.1259], [0.0000, 0.0000, 0.0000], [0.7414, 0.4827, 0.6259], [0.4061, 0.8122, 0.7500], [0.5939, 0.1878, 0.2500], [0.3681, 0.7362, 0.5438], [0.6319, 0.2638, 0.4562], [0.6319, 0.2638, 0.0438], [0.3681, 0.7362, 0.9562], [0.8290, 0.6580, 0.7500], [0.1710, 0.3420, 0.2500], [0.0976, 0.1952, 0.7500], [0.9024, 0.8048, 0.2500]]}